Entry 1:
Entry from the Alexandria database: an optimized crystal structure of LaI (PBE).

## Properties
* V: 136.8 Å³ per cell
* space group: P4/nmm, No. 129
* mass density: 6453 kg/m³
* formation energy from raw total energies: -0.9871 eV/atom

abc: 4.4471 4.4471 6.9167
angles: 90.00 90.00 90.00
Fractional coordinates of all 4 atoms:
La: 0.2500 0.2500 0.1753
La: 0.7500 0.7500 0.8247
I: 0.2500 0.2500 0.6833
I: 0.7500 0.7500 0.3167

Entry 2:
Entry from the Alexandria database: an optimized crystal structure of TaTeSe3 (PBE).

## Properties
* energy above the lowest structure with this stoichiometry: 0 meV per atom
* V: 328.5 Å³ per cell
* space group: P-1, No. 2
* mass density: 5514 kg/m³
* formation energy from raw total energies: -0.2987 eV/atom

abc: 5.3241 6.6463 9.8912
angles: 95.29 100.01 105.54
Fractional coordinates of all 10 atoms:
Ta: 0.1450 0.0163 0.3598
Ta: 0.8550 0.9837 0.6402
Te: 0.0686 0.4389 0.7403
Te: 0.9314 0.5611 0.2597
Se: 0.0780 0.8474 0.1105
Se: 0.3127 0.9745 0.6126
Se: 0.3245 0.3825 0.3213
Se: 0.6755 0.6175 0.6787
Se: 0.6873 0.0255 0.3874
Se: 0.9220 0.1526 0.8895

Entry 3:
Entry from the Alexandria database: an optimized crystal structure of Y2OsI (PBE).

## Properties
* energy above the lowest structure with this stoichiometry: 579 meV per atom
* V: 292.5 Å³ per cell
* space group: I-42d, No. 122
* mass density: 5620 kg/m³
* formation energy from raw total energies: 0.1260 eV/atom

abc: 8.0008 8.0008 8.0008
angles: 130.11 130.11 73.23
Fractional coordinates of all 8 atoms:
Y: 0.0493 0.6250 0.9243
Y: 0.3750 0.2993 0.4243
Y: 0.7007 0.1250 0.0757
Y: 0.8750 0.9507 0.5757
Os: 0.0000 0.0000 0.0000
Os: 0.7500 0.2500 0.5000
I: 0.2500 0.7500 0.5000
I: 0.5000 0.5000 0.0000

Entry 4:
Entry from the Alexandria database: an optimized crystal structure of Tb2Pm5Sn5 (PBE).

## Properties
* formation energy from the elements: -0.545 eV per atom
* V: 400.0 Å³ per cell
* space group: C2/m, No. 12
* mass density: 6794 kg/m³

abc: 7.7716 7.7716 12.8439
angles: 108.77 108.77 33.19
Fractional coordinates of all 12 atoms:
Tb: 0.0504 0.0504 0.2861
Tb: 0.9496 0.9496 0.7139
Pm: 0.2730 0.2730 0.1551
Pm: 0.3401 0.3401 0.4597
Pm: 0.5000 0.5000 0.0000
Pm: 0.6599 0.6599 0.5403
Pm: 0.7270 0.7270 0.8449
Sn: 0.0000 0.0000 0.5000
Sn: 0.1159 0.1159 0.9267
Sn: 0.3038 0.3038 0.7057
Sn: 0.6962 0.6962 0.2943
Sn: 0.8841 0.8841 0.0733

Entry 5:
Entry from the Alexandria database: an optimized crystal structure of BeCr2C (PBE).

## Properties
* formation energy from the elements: 0.090 eV per atom
* energy above the lowest structure with this stoichiometry: 0 meV per atom
* V: 39.8 Å³ per cell
* space group: R-3m, No. 166
* mass density: 5217 kg/m³

abc: 6.0921 6.0921 6.0921
angles: 26.54 26.54 26.54
Fractional coordinates of all 4 atoms:
Be: 0.0000 0.0000 0.0000
Cr: 0.2282 0.2282 0.2282
Cr: 0.7718 0.7718 0.7718
C: 0.5000 0.5000 0.5000

Entry 6:
Entry from the Alexandria database: an optimized crystal structure of BaCa2BSe (PBE).

## Properties
* V: 173.2 Å³ per cell
* space group: P4/mmm, No. 123
* mass density: 2945 kg/m³
* formation energy from raw total energies: 1.0864 eV/atom

abc: 6.1841 6.1841 4.5299
angles: 90.00 90.00 90.00
Fractional coordinates of all 5 atoms:
Ba: 0.0000 0.0000 0.0000
Ca: 0.0000 0.5000 0.0000
Ca: 0.5000 0.0000 0.0000
B: 0.0000 0.0000 0.5000
Se: 0.5000 0.5000 0.5000

Entry 7:
Entry from the Alexandria database: an optimized crystal structure of TiPtRh3 (PBE).

## Properties
* formation energy from the elements: 0.713 eV per atom
* energy above the lowest structure with this stoichiometry: 1218 meV per atom
* V: 89.0 Å³ per cell
* space group: Pm-3m, No. 221
* mass density: 10292 kg/m³

abc: 4.4648 4.4648 4.4648
angles: 90.00 90.00 90.00
Fractional coordinates of all 5 atoms:
Ti: 0.0000 0.0000 0.0000
Pt: 0.5000 0.5000 0.5000
Rh: 0.0000 0.0000 0.5000
Rh: 0.0000 0.5000 0.0000
Rh: 0.5000 0.0000 0.0000

Entry 8:
Entry from the Alexandria database: an optimized crystal structure of LaY2Sb (PBE).

## Properties
* V: 137.9 Å³ per cell
* space group: R3m, No. 160
* mass density: 5281 kg/m³
* formation energy from raw total energies: -0.3786 eV/atom

abc: 9.9740 9.9740 9.9740
angles: 23.44 23.44 23.44
Fractional coordinates of all 4 atoms:
La: 0.0000 0.0000 0.0000
Y: 0.5643 0.5643 0.5643
Y: 0.7667 0.7667 0.7667
Sb: 0.1651 0.1651 0.1651

Entry 9:
Entry from the Alexandria database: an optimized crystal structure of Li7In3Pd2 (PBE).

## Properties
* formation energy from the elements: -0.293 eV per atom
* V: 208.9 Å³ per cell
* space group: P2/m, No. 10
* mass density: 4815 kg/m³

abc: 4.5701 3.0747 15.0405
angles: 90.00 98.64 90.00
Fractional coordinates of all 12 atoms:
Li: 0.0000 0.0000 0.0000
Li: 0.0919 0.5000 0.1794
Li: 0.2695 0.5000 0.5392
Li: 0.4207 0.0000 0.8439
Li: 0.5793 0.0000 0.1561
Li: 0.7305 0.5000 0.4608
Li: 0.9081 0.5000 0.8206
In: 0.1794 0.0000 0.3519
In: 0.5000 0.5000 0.0000
In: 0.8206 0.0000 0.6481
Pd: 0.3491 0.5000 0.7062
Pd: 0.6509 0.5000 0.2938

Entry 10:
Entry from the Alexandria database: an optimized crystal structure of HfTiHgPd (PBE).

## Properties
* formation energy from the elements: -0.208 eV per atom
* energy above the lowest structure with this stoichiometry: 167 meV per atom
* V: 75.3 Å³ per cell
* space group: F-43m, No. 216
* mass density: 11768 kg/m³

abc: 4.7392 4.7392 4.7392
angles: 60.00 60.00 60.00
Fractional coordinates of all 4 atoms:
Hf: 0.0000 0.0000 0.0000
Ti: 0.5000 0.5000 0.5000
Hg: 0.7500 0.7500 0.7500
Pd: 0.2500 0.2500 0.2500

Entry 11:
Entry from the Alexandria database: an optimized crystal structure of PPt2 (PBE).

## Properties
* formation energy from the elements: -0.288 eV per atom
* V: 95.7 Å³ per cell
* space group: Pnnm, No. 58
* mass density: 14614 kg/m³

abc: 3.7798 6.5172 3.8852
angles: 90.00 90.00 90.00
Fractional coordinates of all 6 atoms:
P: 0.0000 0.0000 0.0000
P: 0.5000 0.5000 0.5000
Pt: 0.2425 0.1654 0.5000
Pt: 0.2575 0.6654 0.0000
Pt: 0.7425 0.3346 0.0000
Pt: 0.7575 0.8346 0.5000

Entry 12:
Entry from the Alexandria database: an optimized crystal structure of ScReSe2F (PBE).

## Properties
* V: 96.5 Å³ per cell
* space group: P4/mmm, No. 123
* mass density: 7020 kg/m³
* formation energy from raw total energies: -0.0390 eV/atom

abc: 5.1014 5.1014 3.7091
angles: 90.00 90.00 90.00
Fractional coordinates of all 5 atoms:
Sc: 0.0000 0.0000 0.0000
Re: 0.5000 0.5000 0.0000
Se: 0.0000 0.5000 0.5000
Se: 0.5000 0.0000 0.5000
F: 0.0000 0.0000 0.5000